No. 1
{"formula": "RbFe3Pt", "functional": "PBE", "state": "optimized geometry", "cell": [[4.9098, 0.0000, 0.0000], [0.0000, 4.9098, 0.0000], [0.0000, 0.0000, 4.9098]], "species": ["Rb", "Fe", "Fe", "Fe", "Pt"], "fractional_positions": [[0.0000, 0.0000, 0.0000], [0.0000, 0.5000, 0.5000], [0.5000, 0.0000, 0.5000], [0.5000, 0.5000, 0.0000], [0.5000, 0.5000, 0.5000]], "total_energy_ev_per_atom": -5.547, "sg": "Pm-3m", "e_above_lowest_polymorph_kj_per_mol_fu": 0.0}

No. 2
{"formula": "RbLa3S", "functional": "PBE", "state": "optimized geometry", "cell": [[5.7568, 0.0000, 0.0000], [0.0000, 5.7568, 0.0000], [0.0000, 0.0000, 5.7568]], "species": ["Rb", "La", "La", "La", "S"], "fractional_positions": [[0.0000, 0.0000, 0.0000], [0.0000, 0.5000, 0.5000], [0.5000, 0.0000, 0.5000], [0.5000, 0.5000, 0.0000], [0.5000, 0.5000, 0.5000]], "total_energy_ev_per_atom": -4.416, "formation_energy_uncorrected_ev_per_atom": -0.441, "sg": "Pm-3m", "e_above_lowest_polymorph_kj_per_mol_fu": 0.0}

No. 3
{"formula": "Li2ReW", "functional": "PBE", "state": "optimized geometry", "cell": [[2.9073, 0.0000, 0.0000], [0.0000, 4.3110, 0.0000], [0.0000, 0.0000, 9.6685]], "species": ["Li", "Li", "Li", "Li", "Re", "Re", "W", "W"], "fractional_positions": [[0.0000, 0.0000, 0.2455], [0.0000, 0.0000, 0.7545], [0.5000, 0.5000, 0.2545], [0.5000, 0.5000, 0.7455], [0.0000, 0.5000, 0.5000], [0.5000, 0.0000, 0.0000], [0.0000, 0.5000, 0.0000], [0.5000, 0.0000, 0.5000]], "total_energy_ev_per_atom": -6.924, "sg": "Immm", "e_above_lowest_polymorph_kj_per_mol_fu": 58.6}

No. 4
{"formula": "KInFe2", "functional": "PBE", "state": "optimized geometry", "cell": [[3.5756, 0.0000, 0.0000], [0.0000, 3.5756, 0.0000], [0.0000, 0.0000, 7.4382]], "species": ["K", "In", "Fe", "Fe"], "fractional_positions": [[0.0000, 0.0000, 0.0000], [0.0000, 0.0000, 0.5000], [0.5000, 0.5000, 0.3543], [0.5000, 0.5000, 0.6457]], "total_energy_ev_per_atom": -4.502, "sg": "P4/mmm"}